Record 1
12
Lattice="4.904 0.000 1.535 2.212 4.377 1.535 0.066 0.041 8.390" Properties=species:S:1:pos:R:3 comment="Dy3Ga2Co7 | the Alexandria database | PBE | relaxed" formation_enthalpy_0k_mev_per_atom=-306 pbc="T T T"
Co 4.087 4.018 4.145
Co 4.197 2.582 8.080
Co 5.429 1.836 4.145
Co 3.591 2.209 5.730
Co 2.984 1.836 3.379
Co 1.752 2.582 7.315
Co 3.095 0.400 7.315
Ga 2.371 1.458 1.027
Ga 4.811 2.959 10.433
Dy 1.035 0.637 5.293
Dy 0.000 0.000 0.000
Dy 6.146 3.781 6.166

=====

Record 2
10
Lattice="3.028 0.000 0.000 0.000 3.028 0.000 0.000 0.000 14.992" Properties=species:S:1:pos:R:3 comment="V4FeTc5 | the Alexandria database | PBE | relaxed" formation_enthalpy_0k_mev_per_atom=-249 pbc="T T T"
V 0.000 0.000 9.011
V 0.000 0.000 5.981
V 0.000 0.000 12.033
V 0.000 0.000 2.958
Tc 1.514 1.514 1.487
Tc 1.514 1.514 10.514
Tc 1.514 1.514 4.478
Tc 1.514 1.514 7.496
Tc 1.514 1.514 13.504
Fe 0.000 0.000 0.000

=====

Record 3
7
Lattice="3.826 0.000 0.000 0.000 3.826 0.000 1.913 1.913 5.917" Properties=species:S:1:pos:R:3 comment="Mn2Cr4C | the Alexandria database | PBE | relaxed" formation_enthalpy_0k_mev_per_atom=371 pbc="T T T"
Cr 1.913 0.000 0.000
Cr 1.913 1.913 3.874
Cr 0.000 1.913 0.000
Cr 3.826 3.826 2.043
Mn 1.913 1.913 1.618
Mn 3.826 3.826 4.298
C 0.000 0.000 0.000

=====

Record 4
5
Lattice="-1.903 -4.611 0.667 3.705 -1.795 -1.836 2.144 -0.227 4.547" Properties=species:S:1:pos:R:3 comment="AgSbTe2O | the Alexandria database | PBE | relaxed" raw_formation_energy_ev_per_fu=0.7 pbc="T T T"
Te 1.072 -0.113 2.274
Te -0.952 -2.305 0.334
Sb 1.973 -3.316 1.689
O 0.000 0.000 0.000
Ag 1.852 -0.897 -0.918